Ba3MnNb2O8 | PBE+U | relaxed Values from VASP.

Quantum ESPRESSO input file:
```
&SYSTEM
  ibrav = 0, nat = 14, ntyp = 4
/
ATOMIC_SPECIES
O 16.00 O.upf
Nb 92.91 Nb.upf
Ba 137.33 Ba.upf
Mn 54.94 Mn.upf
CELL_PARAMETERS angstrom
5.972 0.000 0.000
-2.986 5.172 0.000
0.000 0.000 7.813
ATOMIC_POSITIONS angstrom
O 0.000 3.448 7.499
Nb 0.000 3.448 1.570
O 4.475 0.865 5.314
O 2.986 1.724 0.314
Ba 0.000 3.448 4.989
O 1.497 0.865 5.314
O 0.000 1.729 2.499
Ba 2.986 1.724 2.824
O 2.986 3.443 5.314
O 1.489 4.308 2.499
Ba 0.000 0.000 0.000
Nb 2.986 1.724 6.243
Mn 0.000 0.000 3.906
O -1.489 4.308 2.499
```

Output
**D(E_F)**: 6.18 states/eV/f.u.
**Total energy**: -7.583 eV per atom
**Space-group type**: P-3m1, No. 164
**Volume**: 241.3 Å³/cell
**Total magnetic moment**: 3.155 μB/cell